Sr3GaCu2O6: optimized geometry, PBE-GGA.

Calculated values
Raw formation energy, eV/atom: -1.686
Total magnetization, μB per formula unit: 0.939

a = 5.783 Å, b = 5.783 Å, c = 6.310 Å
α = 90.00°, β = 90.00°, γ = 120.00°
Atoms (fractional coordinates):
Sr 0.000 0.000 0.000
Sr 0.333 0.667 0.636
Sr 0.667 0.333 0.364
Ga 0.000 0.000 0.500
Cu 0.333 0.667 0.181
Cu 0.667 0.333 0.819
O 0.161 0.322 0.309
O 0.161 0.839 0.309
O 0.322 0.161 0.691
O 0.678 0.839 0.309
O 0.839 0.161 0.691
O 0.839 0.678 0.691



NbHgTe2: optimized geometry, PBE-GGA.

Calculated values
Raw formation energy, eV/atom: -0.012
Total magnetization, μB per formula unit: 0.000
Excess energy over the best structure of this formula in the dataset, meV/atom: 326

a = 8.507 Å, b = 6.997 Å, c = 6.698 Å
α = 90.00°, β = 90.00°, γ = 90.00°
Atoms (fractional coordinates):
Nb 0.000 0.150 0.000
Nb 0.000 0.850 0.500
Nb 0.500 0.350 0.500
Nb 0.500 0.650 0.000
Hg 0.000 0.459 0.646
Hg 0.000 0.541 0.146
Hg 0.500 0.041 0.146
Hg 0.500 0.959 0.646
Te 0.197 0.146 0.341
Te 0.197 0.854 0.841
Te 0.303 0.354 0.841
Te 0.303 0.646 0.341
Te 0.697 0.354 0.841
Te 0.697 0.646 0.341
Te 0.803 0.146 0.341
Te 0.803 0.854 0.841



AcHo2Er5: optimized geometry, PBE-GGA.

Calculated values
Formation energy from the elements, eV per formula unit: 0.329
Total magnetization, μB per formula unit: 0.000

a = 7.128 Å, b = 7.128 Å, c = 10.040 Å
α = 90.00°, β = 90.00°, γ = 90.00°
Atoms (fractional coordinates):
Ac 0.000 0.000 0.000
Ac 0.500 0.500 0.500
Ho 0.000 0.500 0.000
Ho 0.000 0.500 0.500
Ho 0.500 0.000 0.000
Ho 0.500 0.000 0.500
Er 0.000 0.000 0.500
Er 0.250 0.250 0.250
Er 0.250 0.250 0.750
Er 0.250 0.750 0.250
Er 0.250 0.750 0.750
Er 0.500 0.500 0.000
Er 0.750 0.250 0.250
Er 0.750 0.250 0.750
Er 0.750 0.750 0.250
Er 0.750 0.750 0.750